The following is a PBE calculation of AcSeF after structural relaxation, from Alexandria.

The structure in extended XYZ format:
```
3
Lattice="-1.912 1.912 4.818 1.912 -1.912 4.818 1.912 1.912 -4.818" Properties=species:S:1:pos:R:3 pbc="T T T"
Ac 0.000 0.000 0.000
Se 0.000 0.000 3.139
F 0.000 0.000 5.909
```

## Properties
Mass density: 7.66 g/cm3
Magnetic moment: 0.0 μB per formula unit
E: -5.66 eV/atom

The following is a PBE calculation of Y4CuSn after structural relaxation, from Alexandria.

The structure in extended XYZ format:
```
12
Lattice="7.263 0.000 0.000 0.000 7.245 0.000 -0.428 0.000 6.944" Properties=species:S:1:pos:R:3 pbc="T T T"
Y 0.993 1.203 1.236
Y 0.779 2.419 4.708
Y 2.306 4.693 0.845
Y 2.092 6.175 4.317
Y 4.743 1.070 2.627
Y 4.529 2.552 6.099
Y 6.057 4.826 2.236
Y 5.843 6.042 5.708
Cu -0.214 0.000 3.472
Cu 0.000 3.622 0.000
Sn 3.632 0.000 0.000
Sn 3.418 3.622 3.472
```

## Properties
Mass density: 4.89 g/cm3
Magnetic moment: 0.0 μB per formula unit
ΔE_f: -0.161 eV/atom
E: -5.82 eV/atom

Question: Look up the magnetic moment of the first one.
Answer: 0.0 μB per formula unit

Please write out number 1 again, unchanged.
The following is a PBE calculation of AcSeF after structural relaxation, from Alexandria.

The structure in extended XYZ format:
```
3
Lattice="-1.912 1.912 4.818 1.912 -1.912 4.818 1.912 1.912 -4.818" Properties=species:S:1:pos:R:3 pbc="T T T"
Ac 0.000 0.000 0.000
Se 0.000 0.000 3.139
F 0.000 0.000 5.909
```

## Properties
Mass density: 7.66 g/cm3
Magnetic moment: 0.0 μB per formula unit
E: -5.66 eV/atom

Question: What is the formula in the second record?
Answer: Y4CuSn

Question: Number 1 is which compound?
Answer: AcSeF